BeAu2: optimized geometry, PBE-GGA.

```
3
Lattice="-0.213 2.888 0.062 -1.848 -0.099 -2.228 -2.988 -1.792 4.472" Properties=species:S:1:pos:R:3 pbc="T T T"
Be -1.031 1.395 -1.083
Au -1.138 -0.103 0.947
Au -3.911 1.100 1.359
```

Summary:
Final energy   -10.646 eV per formula unit
ΔE_f   -122 meV/atom